Entry from Alexandria: crystalline Mn2TcRuPt at its relaxed geometry (PBE-GGA).

Properties
Formation energy   1.51 eV per atom
Total magnetization   6.9 μB/f.u.

abc: 4.4095 4.4095 4.8086
angles: 90.00 90.00 90.00
Last column: nearest neighbours and their distance in Å.
Space group P4/mmm (No. 123)
One atom of each set of equivalent atoms:
1 Mn 0.0000 0.5000 0.0000 [2 per cell]  2 Tc 2.20
2 Tc 0.0000 0.0000 0.0000 [1 per cell]  4 Mn 2.20, 2 Pt 2.40
3 Ru 0.5000 0.5000 0.5000 [1 per cell]  4 Pt 3.12, 8 Mn 3.26
4 Pt 0.0000 0.0000 0.5000 [1 per cell]  2 Tc 2.40



Entry from Alexandria: crystalline YCuBMo2 at its relaxed geometry (PBE-GGA).

Properties
Formation energy   0.20 eV per atom
Total magnetization   0.0 μB/f.u.

abc: 4.3455 4.3455 4.1858
angles: 90.00 90.00 90.00
Last column: nearest neighbours and their distance in Å.
Space group P4/mmm (No. 123)
One atom of each set of equivalent atoms:
1 Y 0.0000 0.0000 0.0000 [1 per cell]  8 Mo 3.02, 4 Cu 3.07
2 Cu 0.5000 0.5000 0.0000 [1 per cell]  2 B 2.09
3 B 0.5000 0.5000 0.5000 [1 per cell]  2 Cu 2.09, 4 Mo 2.17
4 Mo 0.0000 0.5000 0.5000 [2 per cell]  2 B 2.17